[1]
DFT (PBE) results for a relaxed structure of Tb4Zn2Ir.

Structure (POSCAR):
```
Tb4Zn2Ir
1.0
-0.2596 -4.5303 -1.8228
5.8284 -0.9477 1.5251
-3.5634 -1.6703 4.6590
Tb Zn Ir
4 2 1
direct
0.5000 0.5000 0.0000
0.0000 0.7415 0.7415
0.0000 0.2585 0.2585
0.5000 0.0000 0.5000
0.0000 0.2466 0.7534
0.0000 0.7534 0.2466
0.5000 0.5000 0.5000
```

Properties
formation energy	-38	kJ/mol of atoms
volume	172.03	Å³ per cell
total DFT energy (no corrections)	-0.1717	hartree per atom

---

[2]
DFT (PBE) results for a relaxed structure of Tb3ZnIr3.

Structure (POSCAR):
```
Tb3ZnIr3
1.0
4.1825 0.0000 0.0000
-2.0912 5.1070 0.0000
0.0000 0.0000 13.7435
Tb Ir Zn
6 6 2
direct
0.1992 0.3984 0.8961
0.4822 0.9645 0.7500
0.8008 0.6016 0.3961
0.1992 0.3984 0.6039
0.5178 0.0355 0.2500
0.8008 0.6016 0.1039
0.9095 0.8190 0.5908
0.0905 0.1810 0.4092
0.2367 0.4734 0.2500
0.9095 0.8190 0.9092
0.0905 0.1810 0.0908
0.7633 0.5266 0.7500
0.5000 0.0000 0.0000
0.5000 0.0000 0.5000
```

Properties
formation energy	-74	kJ/mol of atoms
volume	293.56	Å³ per cell
total DFT energy (no corrections)	-0.2475	hartree per atom

---

[3]
DFT (PBE) results for a relaxed structure of Tb2Zn3Ir2.

Structure (POSCAR):
```
Tb2Zn3Ir2
1.0
-2.6231 0.7667 -3.1464
4.0848 -3.1091 -1.4031
-4.9509 -3.8179 3.1973
Tb Ir Zn
2 2 3
direct
0.1482 0.2963 0.7742
0.8518 0.7037 0.2258
0.1382 0.2765 0.1959
0.8618 0.7235 0.8041
0.5000 0.0000 0.0000
0.6363 0.2726 0.4436
0.3637 0.7274 0.5564
```

Properties
formation energy	-57	kJ/mol of atoms
volume	132.94	Å³ per cell
total DFT energy (no corrections)	-0.1835	hartree per atom

---

[4]
DFT (PBE) results for a relaxed structure of TbZn11Ir.

Structure (POSCAR):
```
TbZn11Ir
1.0
-1.5689 1.1869 4.8105
-0.5854 -5.3951 4.1023
5.2775 1.3054 4.2066
Tb Zn Ir
1 11 1
direct
0.0000 0.0000 0.0000
0.2840 0.2148 0.2176
0.4984 0.7852 0.2176
0.3709 0.6457 0.6509
0.6291 0.3543 0.3491
0.0000 0.5000 0.0000
0.5000 0.0000 0.5000
0.0000 0.0000 0.5000
0.7160 0.7852 0.7824
0.9783 0.3543 0.6509
0.5016 0.2148 0.7824
0.0217 0.6457 0.3491
0.5000 0.5000 0.0000
```

Properties
formation energy	-22	kJ/mol of atoms
volume	205.92	Å³ per cell
total DFT energy (no corrections)	-0.0860	hartree per atom

---

[5]
DFT (PBE) results for a relaxed structure of Tb2ZnIr.

Structure (POSCAR):
```
Tb2ZnIr
1.0
-2.9949 3.1474 0.7327
-1.0035 0.3528 -5.6172
-4.6289 -5.1791 3.3267
Tb Zn Ir
4 2 2
direct
0.2500 0.7692 0.5793
0.2500 0.7901 0.0626
0.7500 0.2308 0.4207
0.7500 0.2099 0.9374
0.7500 0.6568 0.2867
0.2500 0.3432 0.7133
0.2500 0.3537 0.2152
0.7500 0.6463 0.7848
```

Properties
formation energy	-62	kJ/mol of atoms
volume	180.96	Å³ per cell
total DFT energy (no corrections)	-0.2019	hartree per atom

---

[6]
DFT (PBE) results for a relaxed structure of Tb5Zn4Ir.

Structure (POSCAR):
```
Tb5Zn4Ir
1.0
-2.0947 -1.2302 -2.6061
2.7642 0.0534 -2.2471
4.0626 -16.6648 4.6013
Tb Zn Ir
5 4 1
direct
0.5000 0.5000 0.2975
0.5000 0.5000 0.7025
0.5000 0.5000 0.5000
0.5000 0.5000 0.0908
0.5000 0.5000 0.9092
0.0000 0.0000 0.1985
0.0000 0.0000 0.8015
0.0000 0.0000 0.3983
0.0000 0.0000 0.6017
0.0000 0.0000 0.0000
```

Properties
formation energy	-43	kJ/mol of atoms
volume	225.42	Å³ per cell
total DFT energy (no corrections)	-0.1528	hartree per atom

---

[7]
DFT (PBE) results for a relaxed structure of TbZn3Ir.

Structure (POSCAR):
```
TbZn3Ir
1.0
-3.2946 -2.7829 -0.3105
3.5460 -4.6700 4.2291
-3.1178 3.6404 0.4545
Zn Ir Tb
3 1 1
direct
0.0000 0.0595 0.4908
0.5000 0.3857 0.7715
0.0000 0.4314 0.4908
0.0000 0.5955 0.1911
0.5000 0.8825 0.7650
```

Properties
formation energy	-30	kJ/mol of atoms
volume	99.40	Å³ per cell
total DFT energy (no corrections)	-0.1387	hartree per atom

---

[8]
DFT (PBE) results for a relaxed structure of Tb3ZnIr8.

Structure (POSCAR):
```
Tb3ZnIr8
1.0
5.3310 0.0000 0.0000
2.6655 4.6168 0.0000
2.6655 1.5389 8.6916
Ir Tb Zn
8 3 1
direct
0.9376 0.4378 0.1868
0.4378 0.4378 0.1868
0.4390 0.9389 0.6831
0.9389 0.9389 0.6831
0.9389 0.4390 0.6831
0.4378 0.9376 0.1868
0.1890 0.1890 0.4331
0.6887 0.6887 0.9340
0.3761 0.3761 0.8716
0.5046 0.5046 0.4863
0.9938 0.9938 0.0186
0.8678 0.8678 0.3966
```

Properties
formation energy	-55	kJ/mol of atoms
volume	213.92	Å³ per cell
total DFT energy (no corrections)	-0.2846	hartree per atom

---

[9]
DFT (PBE) results for a relaxed structure of Tb2Zn15Ir2.

Structure (POSCAR):
```
Tb2Zn15Ir2
1.0
6.7740 -0.0276 -0.0246
0.8514 6.7204 -0.0246
0.8514 0.7473 6.6787
Zn Ir Tb
15 2 2
direct
0.5000 0.0000 0.0000
0.8490 0.3522 0.3522
0.7165 0.0000 0.2835
0.2835 0.7165 0.0000
0.2835 0.0000 0.7165
0.6478 0.6478 0.1510
0.7165 0.2835 0.0000
0.1510 0.6478 0.6478
0.0000 0.0000 0.5000
0.3522 0.8490 0.3522
0.0000 0.5000 0.0000
0.0000 0.2835 0.7165
0.3522 0.3522 0.8490
0.0000 0.7165 0.2835
0.6478 0.1510 0.6478
0.8909 0.8909 0.8909
0.1091 0.1091 0.1091
0.6693 0.6693 0.6693
0.3307 0.3307 0.3307
```

Properties
formation energy	-25	kJ/mol of atoms
volume	304.45	Å³ per cell
total DFT energy (no corrections)	-0.0986	hartree per atom

---

[10]
DFT (PBE) results for a relaxed structure of Tb2Zn2Ir.

Structure (POSCAR):
```
Tb2Zn2Ir
1.0
-0.4733 1.6341 -3.5630
-5.4434 0.2264 -1.3608
0.2762 10.3218 2.5096
Tb Ir Zn
4 2 4
direct
0.3308 0.6747 0.6637
0.9297 0.2658 0.8748
0.6692 0.3253 0.3363
0.0703 0.7342 0.1252
0.6120 0.0893 0.6868
0.3880 0.9107 0.3132
0.1157 0.2213 0.5474
0.3672 0.1586 0.1071
0.8843 0.7787 0.4526
0.6328 0.8414 0.8929
```

Properties
formation energy	-53	kJ/mol of atoms
volume	215.21	Å³ per cell
total DFT energy (no corrections)	-0.1721	hartree per atom

---

[11]
DFT (PBE) results for a relaxed structure of Tb2ZnIr.

Structure (POSCAR):
```
Tb2ZnIr
1.0
-1.0715 -3.3423 0.3039
2.8849 -0.7542 1.8762
-3.4427 1.6452 5.9548
Ir Zn Tb
1 1 2
direct
0.5000 0.5000 0.0000
0.5000 0.5000 0.5000
0.0000 0.0000 0.7689
0.0000 0.0000 0.2311
```

Properties
formation energy	-57	kJ/mol of atoms
volume	87.78	Å³ per cell
total DFT energy (no corrections)	-0.2000	hartree per atom

---

[12]
DFT (PBE) results for a relaxed structure of TbZn4Ir.

Structure (POSCAR):
```
TbZn4Ir
1.0
-3.7707 -2.4233 2.4789
0.4082 -0.9089 5.0242
-2.9472 2.5627 3.3139
Zn Ir Tb
4 1 1
direct
0.1217 0.6261 0.6261
0.6261 0.6261 0.1217
0.6261 0.1217 0.6261
0.6261 0.6261 0.6261
0.0000 0.0000 0.0000
0.2500 0.2500 0.2500
```

Properties
formation energy	-40	kJ/mol of atoms
volume	95.02	Å³ per cell
total DFT energy (no corrections)	-0.1290	hartree per atom

---

[13]
DFT (PBE) results for a relaxed structure of TbZrZnIr.

Structure (POSCAR):
```
TbZrZnIr
1.0
4.8228 0.0000 0.0000
2.4114 4.1767 0.0000
2.4114 1.3922 3.9378
Zr Ir Zn Tb
1 1 1 1
direct
0.2500 0.2500 0.2500
0.5000 0.5000 0.5000
0.0000 0.0000 0.0000
0.7500 0.7500 0.7500
```

Properties
formation energy	-48	kJ/mol of atoms
volume	79.32	Å³ per cell
total DFT energy (no corrections)	-0.2326	hartree per atom

---

[14]
DFT (PBE) results for a relaxed structure of TbZr3Ir2.

Structure (POSCAR):
```
TbZr3Ir2
1.0
4.5403 0.0000 0.0000
0.0000 6.8748 0.0000
0.0000 0.0000 8.3004
Tb Zr Ir
2 6 4
direct
0.5000 0.0104 0.4277
0.5000 0.5104 0.5723
0.5000 0.6480 0.1632
0.0000 0.9898 0.0758
0.0000 0.4898 0.9242
0.0000 0.8521 0.6754
0.5000 0.1480 0.8368
0.0000 0.3521 0.3246
0.5000 0.7554 0.8440
0.0000 0.2443 0.6684
0.5000 0.2554 0.1560
0.0000 0.7443 0.3316
```

Properties
formation energy	-66	kJ/mol of atoms
volume	259.09	Å³ per cell
total DFT energy (no corrections)	-0.3193	hartree per atom

---

[15]
DFT (PBE) results for a relaxed structure of TbZr4Ir5.

Structure (POSCAR):
```
TbZr4Ir5
1.0
-2.8041 1.0860 1.4437
-0.2241 -2.8542 1.7117
9.0229 6.7545 12.4439
Zr Ir Tb
4 5 1
direct
0.0000 0.0000 0.2060
0.0000 0.0000 0.7940
0.0000 0.0000 0.4026
0.0000 0.0000 0.5974
0.5000 0.5000 0.1172
0.5000 0.5000 0.5000
0.5000 0.5000 0.8828
0.5000 0.5000 0.3074
0.5000 0.5000 0.6926
0.0000 0.0000 0.0000
```

Properties
formation energy	-76	kJ/mol of atoms
volume	186.81	Å³ per cell
total DFT energy (no corrections)	-0.3345	hartree per atom

---

[16]
DFT (PBE) results for a relaxed structure of TbZrIr4.

Structure (POSCAR):
```
TbZrIr4
1.0
5.3104 0.0000 0.0000
2.6552 4.5990 0.0000
2.6552 1.5330 4.3359
Ir Zr Tb
4 1 1
direct
0.1245 0.6252 0.6252
0.6252 0.6252 0.1245
0.6252 0.6252 0.6252
0.6252 0.1245 0.6252
0.2500 0.2500 0.2500
0.0000 0.0000 0.0000
```

Properties
formation energy	-69	kJ/mol of atoms
volume	105.89	Å³ per cell
total DFT energy (no corrections)	-0.3242	hartree per atom

---

[17]
DFT (PBE) results for a relaxed structure of TbZrIr.

Structure (POSCAR):
```
TbZrIr
1.0
-0.9358 -3.0804 1.1815
3.2147 -0.5752 1.0465
-2.3667 4.1327 3.9231
Tb Ir Zr
1 1 1
direct
0.9839 0.9839 0.9678
0.3185 0.3185 0.6371
0.6976 0.6976 0.3951
```

Properties
formation energy	-45	kJ/mol of atoms
E above lowest polymorph	214	meV per atom
volume	66.73	Å³ per cell
total DFT energy (no corrections)	-0.2870	hartree per atom

---

[18]
DFT (PBE) results for a relaxed structure of TbZrIr.

Structure (POSCAR):
```
TbZrIr
1.0
4.4695 0.8715 0.7109
2.8129 8.8115 1.2245
2.8081 3.0024 8.3758
Ir Tb Zr
4 4 4
direct
0.4598 0.5188 0.2687
0.4598 0.0187 0.7687
0.5402 0.4812 0.7313
0.5402 0.9813 0.2313
0.1194 0.6904 0.9403
0.8806 0.3096 0.0597
0.1194 0.1904 0.4404
0.8806 0.8096 0.5596
0.7500 0.6248 0.3748
0.2500 0.8752 0.1252
0.7500 0.1248 0.8748
0.2500 0.3752 0.6252
```

Properties
formation energy	-64	kJ/mol of atoms
E above lowest polymorph	12	meV per atom
volume	284.31	Å³ per cell
total DFT energy (no corrections)	-0.2945	hartree per atom

---

[19]
DFT (PBE) results for a relaxed structure of Tb3ZrIr4.

Structure (POSCAR):
```
Tb3ZrIr4
1.0
3.2642 0.0000 0.0000
0.0000 4.9141 0.0000
0.0000 0.0000 9.9010
Ir Zr Tb
4 1 3
direct
0.0000 0.5000 0.7711
0.0000 0.5000 0.2289
0.0000 0.0000 0.5000
0.0000 0.0000 0.0000
0.5000 0.5000 0.0000
0.5000 0.0000 0.7505
0.5000 0.0000 0.2495
0.5000 0.5000 0.5000
```

Properties
formation energy	-76	kJ/mol of atoms
volume	158.82	Å³ per cell
total DFT energy (no corrections)	-0.2947	hartree per atom

---

[20]
DFT (PBE) results for a relaxed structure of TbZrIr.

Structure (POSCAR):
```
TbZrIr
1.0
-1.2171 -3.7539 2.5402
0.6417 -4.3142 -1.7326
3.3163 -2.7855 1.8080
Tb Ir Zr
1 1 1
direct
0.5000 0.5000 0.5000
0.2500 0.2500 0.2500
0.0000 0.0000 0.0000
```

Properties
formation energy	-50	kJ/mol of atoms
E above lowest polymorph	164	meV per atom
volume	73.09	Å³ per cell
total DFT energy (no corrections)	-0.2889	hartree per atom

---

[21]
DFT (PBE) results for a relaxed structure of TbZr2Ir9.

Structure (POSCAR):
```
TbZr2Ir9
1.0
5.0310 0.0000 1.4973
2.2927 4.4782 1.4973
0.0020 0.0012 9.1942
Ir Tb Zr
9 1 2
direct
0.3339 0.3339 0.9982
0.6661 0.6661 0.0018
0.4147 0.4147 0.2523
0.0818 0.5853 0.7477
0.9182 0.4147 0.2523
0.5853 0.0818 0.7477
0.5000 0.5000 0.5000
0.5853 0.5853 0.7477
0.4147 0.9182 0.2523
0.0000 0.0000 0.0000
0.1388 0.1388 0.5836
0.8612 0.8612 0.4164
```

Properties
formation energy	-53	kJ/mol of atoms
volume	207.12	Å³ per cell
total DFT energy (no corrections)	-0.3309	hartree per atom

---

[22]
DFT (PBE) results for a relaxed structure of Tb4ZrIr3.

Structure (POSCAR):
```
Tb4ZrIr3
1.0
5.6565 0.0000 2.0032
2.8282 7.7692 1.0016
0.2347 0.0000 8.3251
Tb Ir Zr
8 6 2
direct
0.5819 0.7058 0.1304
0.9181 0.8696 0.2942
0.4181 0.2942 0.8696
0.2123 0.7058 0.8696
0.7877 0.2942 0.1304
0.2877 0.1304 0.2942
0.7123 0.8696 0.7058
0.0819 0.1304 0.7058
0.8516 0.5000 0.7967
0.1484 0.5000 0.2033
0.6484 0.2033 0.5000
0.3516 0.7967 0.5000
0.2500 0.0000 0.0000
0.7500 0.0000 0.0000
0.7500 0.5000 0.5000
0.2500 0.5000 0.5000
```

Properties
formation energy	-71	kJ/mol of atoms
volume	362.20	Å³ per cell
total DFT energy (no corrections)	-0.2733	hartree per atom

---

[23]
DFT (PBE) results for a relaxed structure of TbZr2Ir3.

Structure (POSCAR):
```
TbZr2Ir3
1.0
3.3075 0.0000 0.0000
0.0000 3.3075 0.0000
0.0000 0.0000 10.4373
Zr Ir Tb
2 3 1
direct
0.5000 0.5000 0.8383
0.5000 0.5000 0.1617
0.0000 0.0000 0.6911
0.0000 0.0000 0.0000
0.0000 0.0000 0.3089
0.5000 0.5000 0.5000
```

Properties
formation energy	-77	kJ/mol of atoms
volume	114.18	Å³ per cell
total DFT energy (no corrections)	-0.3251	hartree per atom

---

[24]
DFT (PBE) results for a relaxed structure of TbZr2Ir2.

Structure (POSCAR):
```
TbZr2Ir2
1.0
-0.6723 0.4650 4.4417
-4.0747 -1.9026 -0.4176
4.5968 -4.2301 -1.1575
Ir Tb Zr
2 1 2
direct
0.3843 0.3843 0.7686
0.6157 0.6157 0.2314
0.0000 0.0000 0.0000
0.2500 0.7500 0.5000
0.7500 0.2500 0.5000
```

Properties
formation energy	-72	kJ/mol of atoms
volume	112.03	Å³ per cell
total DFT energy (no corrections)	-0.3172	hartree per atom